BaLi5: optimized geometry, PBE.

a = 4.063 Å, b = 5.564 Å, c = 7.979 Å
α = 110.41°, β = 90.00°, γ = 90.00°
Sites, in units of the cell vectors:
Ba (0.000, 0.000, 0.000)
Li (0.000, 0.661, 0.323)
Li (0.000, 0.339, 0.677)
Li (0.500, 0.500, 0.000)
Li (0.500, 0.203, 0.405)
Li (0.500, 0.797, 0.595)

Output
Energy above the most stable polymorph in this dataset ... 0.0763 eV per atom
Calculated volume ... 28.2 A^3/atom
Magnetization ... 0.0 μB/f.u.
Calculated formation energy ... 0.11 eV per atom